Record 1
Material: CsRb4As4
Method: DFT, PBE
State: optimized geometry

Values from the calculation:
- Space group: No. 86
- V: 416 Å³/f.u.
- Formation enthalpy at 0 K: -2.58 eV/f.u.

Cell lengths 10.9700, 10.9700, 6.9137 Å; angles 90.00, 90.00, 90.00 degrees
With the nearest neighbours (Å) after each atom.
Positions (direct):
Cs (0.2500, 0.2500, 0.2500)  4 As 3.74
Cs (0.7500, 0.7500, 0.7500)  4 As 3.74
Rb (0.0896, 0.6441, 0.1025)  5 As 3.52-3.78
Rb (0.1441, 0.9104, 0.6025)  5 As 3.52-3.78
Rb (0.3559, 0.5896, 0.6025)  5 As 3.52-3.78
Rb (0.4104, 0.8559, 0.1025)  5 As 3.52-3.78
Rb (0.5896, 0.1441, 0.8975)  5 As 3.52-3.78
Rb (0.6441, 0.4104, 0.3975)  5 As 3.52-3.78
Rb (0.8559, 0.0896, 0.3975)  5 As 3.52-3.78
Rb (0.9104, 0.3559, 0.8975)  5 As 3.52-3.78
As (0.0313, 0.5844, 0.5954)  1 As 2.38
As (0.0844, 0.9687, 0.0954)  1 As 2.38
As (0.4156, 0.5313, 0.0954)  1 As 2.38
As (0.4687, 0.9156, 0.5954)  1 As 2.38
As (0.5313, 0.0844, 0.4046)  1 As 2.38
As (0.5844, 0.4687, 0.9046)  1 As 2.38
As (0.9156, 0.0313, 0.9046)  1 As 2.38
As (0.9687, 0.4156, 0.4046)  1 As 2.38

---

Record 2
Material: Cs12Rb5As2
Method: DFT, PBE
State: optimized geometry

Values from the calculation:
- Space group: No. 12
- V: 1712 Å³/f.u.
- Formation enthalpy at 0 K: -1.22 eV/f.u.

Cell lengths 14.9240, 14.9240, 12.7840 Å; angles 93.29, 93.29, 37.05 degrees
With the nearest neighbours (Å) after each atom.
Positions (direct):
Cs (0.0394, 0.0394, 0.1522)  2 As 4.09, 1 Cs 4.37
Cs (0.0894, 0.5912, 0.4819)  5 Cs 4.73-5.27, 1 Rb 5.09
Cs (0.1593, 0.6196, 0.1017)  1 As 3.57
Cs (0.3804, 0.8407, 0.8983)  1 As 3.57
Cs (0.4088, 0.9106, 0.5181)  5 Cs 4.73-5.27, 1 Rb 5.09
Cs (0.4604, 0.4604, 0.7529)  2 As 3.53
Cs (0.5396, 0.5396, 0.2471)  2 As 3.53
Cs (0.5912, 0.0894, 0.4819)  5 Cs 4.73-5.27, 1 Rb 5.09
Cs (0.6196, 0.1593, 0.1017)  1 As 3.57
Cs (0.8407, 0.3804, 0.8983)  1 As 3.57
Cs (0.9106, 0.4088, 0.5181)  5 Cs 4.73-5.27, 1 Rb 5.09
Cs (0.9606, 0.9606, 0.8478)  2 As 4.09, 1 Cs 4.37
Rb (0.0000, 0.0000, 0.5000)  6 Cs 4.65-5.09
Rb (0.2251, 0.2251, 0.1849)  3 Rb 4.74-5.00, 5 Cs 5.25-5.30
Rb (0.2710, 0.2710, 0.8137)  3 Rb 4.74-5.00, 2 Cs 5.30
Rb (0.7290, 0.7290, 0.1863)  3 Rb 4.74-5.00, 2 Cs 5.30
Rb (0.7749, 0.7749, 0.8151)  3 Rb 4.74-5.00, 5 Cs 5.25-5.30
As (0.3645, 0.6355, 0.0000)  1 As 2.57
As (0.6355, 0.3645, 0.0000)  1 As 2.57

---

Record 3
Material: CsRb4As
Method: DFT, PBE
State: optimized geometry

Values from the calculation:
- Space group: No. 12
- V: 433 Å³/f.u.
- Formation enthalpy at 0 K: -0.79 eV/f.u.

Cell lengths 13.2672, 13.2672, 7.5182 Å; angles 106.31, 106.31, 43.34 degrees
With the nearest neighbours (Å) after each atom.
Positions (direct):
Cs (0.2134, 0.2134, 0.2129)  12 Rb 5.12-5.50
Cs (0.7866, 0.7866, 0.7871)  12 Rb 5.12-5.50
Rb (0.1636, 0.6492, 0.4072)  2 As 3.49-3.50
Rb (0.2298, 0.7702, 0.0000)  2 As 3.60, 2 Rb 4.02
Rb (0.3508, 0.8364, 0.5928)  2 As 3.49-3.50
Rb (0.3712, 0.3712, 0.8718)  2 As 3.89-3.90, 2 Rb 4.02
Rb (0.6288, 0.6288, 0.1282)  2 As 3.89-3.90, 2 Rb 4.02
Rb (0.6492, 0.1636, 0.4072)  2 As 3.49-3.50
Rb (0.7702, 0.2298, 0.0000)  2 As 3.60, 2 Rb 4.02
Rb (0.8364, 0.3508, 0.5928)  2 As 3.49-3.50
As (0.5001, 0.5001, 0.3253)  1 As 2.63
As (0.4999, 0.4999, 0.6747)  1 As 2.63

---

Record 4
Material: Cs6Rb2As
Method: DFT, PBE
State: optimized geometry

Values from the calculation:
- Space group: No. 14
- V: 832 Å³/f.u.
- Formation enthalpy at 0 K: -1.18 eV/f.u.

Cell lengths 10.6051, 10.5763, 18.2099 Å; angles 90.00, 125.48, 90.00 degrees
With the nearest neighbours (Å) after each atom.
Positions (direct):
Cs (0.2315, 0.2331, 0.9997)  1 As 3.48
Cs (0.2315, 0.2669, 0.4997)  1 As 3.48
Cs (0.2318, 0.7333, 0.4998)  1 As 3.48
Cs (0.2318, 0.7667, 0.9998)  1 As 3.48
Cs (0.2343, 0.0003, 0.2349)  1 As 3.48
Cs (0.2343, 0.4997, 0.7349)  1 As 3.48
Cs (0.7657, 0.9997, 0.7651)  1 As 3.48
Cs (0.7657, 0.5003, 0.2651)  1 As 3.48
Cs (0.7682, 0.2333, 0.0002)  1 As 3.48
Cs (0.7682, 0.2667, 0.5002)  1 As 3.48
Cs (0.7685, 0.7331, 0.5003)  1 As 3.48
Cs (0.7685, 0.7669, 0.0003)  1 As 3.48
Rb (0.2538, 0.5005, 0.2521)  12 Cs 5.26-5.32
Rb (0.2538, 0.9995, 0.7521)  12 Cs 5.26-5.32
Rb (0.7462, 0.0005, 0.2479)  12 Cs 5.26-5.32
Rb (0.7462, 0.4995, 0.7479)  12 Cs 5.26-5.32
As (0.0000, 0.0000, 0.0000)  6 Cs 3.48
As (0.0000, 0.5000, 0.5000)  6 Cs 3.48

---

Record 5
Material: CsRbAs2
Method: DFT, PBE
State: optimized geometry

Values from the calculation:
- Space group: No. 225
- V: 147 Å³/f.u.
- Excess energy over the best structure of this formula in the dataset: 2.67 eV/f.u.
- Formation enthalpy at 0 K: 1.09 eV/f.u.

Cell lengths 5.9271, 5.9271, 5.9271 Å; angles 60.00, 60.00, 60.00 degrees
With the nearest neighbours (Å) after each atom.
Positions (direct):
Cs (0.0000, 0.0000, 0.0000)  8 As 3.63
Rb (0.5000, 0.5000, 0.5000)  8 As 3.63
As (0.2500, 0.2500, 0.2500)  4 Rb 3.63, 4 Cs 3.63
As (0.7500, 0.7500, 0.7500)  4 Rb 3.63, 4 Cs 3.63

---

Record 6
Material: Cs2RbAs
Method: DFT, PBE
State: optimized geometry

Values from the calculation:
- Space group: No. 225
- V: 176 Å³/f.u.
- Formation enthalpy at 0 K: -0.72 eV/f.u.

Cell lengths 6.2895, 6.2895, 6.2895 Å; angles 60.00, 60.00, 60.00 degrees
With the nearest neighbours (Å) after each atom.
Positions (direct):
Cs (0.2500, 0.2500, 0.2500)  4 As 3.85, 4 Rb 3.85
Cs (0.7500, 0.7500, 0.7500)  4 Rb 3.85, 4 As 3.85
Rb (0.0000, 0.0000, 0.0000)  8 Cs 3.85
As (0.5000, 0.5000, 0.5000)  8 Cs 3.85

---

Record 7
Material: Cs3Rb4As
Method: DFT, PBE
State: optimized geometry

Values from the calculation:
- Space group: No. 59
- V: 641 Å³/f.u.
- Formation enthalpy at 0 K: -0.69 eV/f.u.

Cell lengths 8.1247, 16.0390, 9.8394 Å; angles 90.00, 90.00, 90.00 degrees
With the nearest neighbours (Å) after each atom.
Positions (direct):
Cs (0.2500, 0.0310, 0.1840)  1 As 3.70
Cs (0.2500, 0.4690, 0.1840)  1 As 3.70
Cs (0.2500, 0.7500, 0.5771)  2 As 4.24, 2 Rb 4.55
Cs (0.7500, 0.2500, 0.4229)  2 As 4.24, 2 Rb 4.55
Cs (0.7500, 0.5310, 0.8160)  1 As 3.70
Cs (0.7500, 0.9690, 0.8160)  1 As 3.70
Rb (0.0034, 0.2500, 0.0106)  1 As 3.49
Rb (0.2500, 0.1184, 0.5865)  1 As 3.52
Rb (0.2500, 0.3816, 0.5865)  1 As 3.52
Rb (0.4966, 0.2500, 0.0106)  1 As 3.49
Rb (0.5034, 0.7500, 0.9894)  1 As 3.49
Rb (0.7500, 0.6184, 0.4135)  1 As 3.52
Rb (0.7500, 0.8816, 0.4135)  1 As 3.52
Rb (0.9966, 0.7500, 0.9894)  1 As 3.49
As (0.2500, 0.2500, 0.3006)  4 Rb 3.49-3.52, 2 Cs 3.70
As (0.7500, 0.7500, 0.6994)  4 Rb 3.49-3.52, 2 Cs 3.70

---

Record 8
Material: Cs2Rb2As3
Method: DFT, PBE
State: optimized geometry

Values from the calculation:
- Space group: No. 12
- V: 272 Å³/f.u.
- Formation enthalpy at 0 K: -1.98 eV/f.u.

Cell lengths 7.7644, 7.7644, 7.6972 Å; angles 114.39, 114.39, 40.84 degrees
With the nearest neighbours (Å) after each atom.
Positions (direct):
Cs (0.1221, 0.1221, 0.2883)  6 As 3.62-3.96, 2 Rb 3.64-3.91
Cs (0.8779, 0.8779, 0.7117)  6 As 3.62-3.96, 2 Rb 3.64-3.91
Rb (0.1623, 0.1623, 0.7903)  5 As 3.47-3.68, 1 Cs 3.64
Rb (0.8377, 0.8377, 0.2097)  5 As 3.47-3.68, 1 Cs 3.64
As (0.4418, 0.4418, 0.0781)  1 As 2.47
As (0.5000, 0.5000, 0.5000)  2 As 2.97
As (0.5582, 0.5582, 0.9219)  1 As 2.47

---

Record 9
Material: Cs8Rb3As
Method: DFT, PBE
State: optimized geometry

Values from the calculation:
- Space group: No. 186
- V: 1121 Å³/f.u.
- Formation enthalpy at 0 K: -0.88 eV/f.u.

Cell lengths 15.3919, 15.3919, 10.9259 Å; angles 90.00, 90.00, 120.00 degrees
With the nearest neighbours (Å) after each atom.
Positions (direct):
Cs (0.0000, 0.0000, 0.1972)  6 Rb 4.86-4.90
Cs (0.0000, 0.0000, 0.6972)  6 Rb 4.86-4.90
Cs (0.0717, 0.5359, 0.2159)  1 As 3.61
Cs (0.2239, 0.4479, 0.5000)  1 As 3.63
Cs (0.2239, 0.7761, 0.5000)  1 As 3.63
Cs (0.3333, 0.6667, 0.9636)  1 As 3.69
Cs (0.4479, 0.2239, 0.0000)  1 As 3.63
Cs (0.4641, 0.5359, 0.2159)  1 As 3.61
Cs (0.4641, 0.9283, 0.2159)  1 As 3.61
Cs (0.5359, 0.0717, 0.7159)  1 As 3.61
Cs (0.5359, 0.4641, 0.7159)  1 As 3.61
Cs (0.5521, 0.7761, 0.5000)  1 As 3.63
Cs (0.6667, 0.3333, 0.4636)  1 As 3.69
Cs (0.7761, 0.2239, 0.0000)  1 As 3.63
Cs (0.7761, 0.5521, 0.0000)  1 As 3.63
Cs (0.9283, 0.4641, 0.7159)  1 As 3.61
Rb (0.1516, 0.3033, 0.9444)  8 Cs 4.85-5.31
Rb (0.1516, 0.8484, 0.9444)  8 Cs 4.85-5.31
Rb (0.3033, 0.1516, 0.4444)  8 Cs 4.85-5.31
Rb (0.6967, 0.8484, 0.9444)  8 Cs 4.85-5.31
Rb (0.8484, 0.1516, 0.4444)  8 Cs 4.85-5.31
Rb (0.8484, 0.6967, 0.4444)  8 Cs 4.85-5.31
As (0.3333, 0.6667, 0.3015)  7 Cs 3.61-3.69
As (0.6667, 0.3333, 0.8015)  7 Cs 3.61-3.69

---

Record 10
Material: Cs2RbAs
Method: DFT, PBE
State: optimized geometry

Values from the calculation:
- Space group: No. 216
- V: 173 Å³/f.u.
- Formation enthalpy at 0 K: -0.86 eV/f.u.

Cell lengths 6.2503, 6.2503, 6.2503 Å; angles 60.00, 60.00, 60.00 degrees
With the nearest neighbours (Å) after each atom.
Positions (direct):
Cs (0.0000, 0.0000, 0.0000)  4 As 3.83, 4 Cs 3.83
Cs (0.2500, 0.2500, 0.2500)  4 Rb 3.83, 4 Cs 3.83
Rb (0.5000, 0.5000, 0.5000)  4 As 3.83, 4 Cs 3.83
As (0.7500, 0.7500, 0.7500)  4 Rb 3.83, 4 Cs 3.83